The following is a PBE-GGA calculation of crystalline Te2RhO at its relaxed geometry, from the Alexandria database.

Unit cell a=3.1337 b=3.1337 c=26.4175 alpha=90.00 beta=90.00 gamma=120.00
With the nearest neighbours (Å) after each atom.
Sites, in units of the cell vectors:
Te 0.0000 0.0000 0.0976  3 O 2.57, 1 Rh 2.58
Te 0.0000 0.0000 0.9024  3 O 2.57, 1 Rh 2.58
Te 0.3333 0.6667 0.5691  3 O 2.57, 1 Rh 2.58
Te 0.3333 0.6667 0.7643  3 O 2.57, 1 Rh 2.58
Te 0.6667 0.3333 0.2357  3 O 2.57, 1 Rh 2.58
Te 0.6667 0.3333 0.4309  3 O 2.57, 1 Rh 2.58
Rh 0.0000 0.0000 0.0000  2 Te 2.58
Rh 0.3333 0.6667 0.6667  2 Te 2.58
Rh 0.6667 0.3333 0.3333  2 Te 2.58
O 0.0000 0.0000 0.5000  6 Te 2.57
O 0.3333 0.6667 0.1667  6 Te 2.57
O 0.6667 0.3333 0.8333  6 Te 2.57

## Properties
VASP energy = -4.3072 eV/atom
formation energy (no corrections) = 0.341 eV per atom
symmetry = No. 166